## a
DFT (PBE) results for an optimized crystal structure of InHg6Pb8.

The structure belongs to space group P-3 (No. 147); the cell edges are 11.9448, 11.9448 and 3.5735 Å and the angles 90.00°, 90.00° and 120.00°. The asymmetric unit holds In at (0.0000, 0.0000, 0.0000), Hg at (0.0902, 0.6130, 0.7521), Pb at (0.0840, 0.2960, 0.7405) and Pb at (0.3333, 0.6667, 0.2328).

The value obtained for the total moment is 0.00 μB/f.u. For the density of states at the Fermi level, the calculation gives 6.23 states/eV/cell.

=====

## b
DFT (PBE) results for an optimized crystal structure of InHg6Pb8.

The structure belongs to space group P-31m (No. 162); the cell edges are 6.0057, 6.0057 and 14.2784 Å and the angles 90.00°, 90.00° and 120.00°. The asymmetric unit holds In at (0.0000, 0.0000, 0.0000), Hg at (0.0000, 0.3338, 0.8051), Pb at (0.0000, 0.3319, 0.3947) and Pb at (0.3333, 0.6667, 0.0000).

The value obtained for the total moment is 0.00 μB/f.u. For the density of states at the Fermi level, the calculation gives 7.10 states/eV/cell.

=====

Most stable = b